! PBE Zr2Al2Zn, relaxed; values from VASP
&SYSTEM
  ibrav = 0, nat = 10, ntyp = 3
/
ATOMIC_SPECIES
Zr 91.22 Zr.upf
Al 26.98 Al.upf
Zn 65.41 Zn.upf
CELL_PARAMETERS angstrom
6.671 0.000 0.000
0.000 6.671 0.000
0.000 0.000 4.247
ATOMIC_POSITIONS crystal
Zr 0.169 0.331 0.000
Zr 0.331 0.831 0.000
Zr 0.669 0.169 0.000
Zr 0.831 0.669 0.000
Al 0.134 0.634 0.500
Al 0.366 0.134 0.500
Al 0.634 0.866 0.500
Al 0.866 0.366 0.500
Zn 0.000 0.000 0.500
Zn 0.500 0.500 0.500
! Energy of formation from the pure elements: -0.37 eV/atom
! Total moment: 0.0 μB per cell
! Density: 5.3 Mg/m³
! Symmetry: P4/mbm

=====

! PBE Tb2Pr3NdSe6, relaxed; values from VASP
&SYSTEM
  ibrav = 0, nat = 12, ntyp = 4
/
ATOMIC_SPECIES
Tb 158.93 Tb.upf
Pr 140.91 Pr.upf
Nd 144.24 Nd.upf
Se 78.96 Se.upf
CELL_PARAMETERS angstrom
3.617 -6.295 0.000
3.617 6.295 0.000
-2.423 0.000 6.919
ATOMIC_POSITIONS crystal
Tb 0.166 0.834 0.000
Tb 0.834 0.166 0.000
Pr 0.000 0.000 0.500
Pr 0.338 0.662 0.500
Pr 0.662 0.338 0.500
Nd 0.500 0.500 0.000
Se 0.079 0.420 0.760
Se 0.237 0.237 0.236
Se 0.420 0.079 0.760
Se 0.580 0.921 0.240
Se 0.763 0.763 0.764
Se 0.921 0.580 0.240
! Total moment: 0.0 μB per cell
! Density: 7.2 Mg/m³
! Formation energy without anion corrections: -1823 meV/atom
! Symmetry: C2/m